The following is a DFT calculation (PBE-GGA) of an optimized crystal structure of AcB2Rh2.

Unit cell a=6.261 b=9.524 c=10.678 alpha=90.00 beta=90.00 gamma=90.00
Space group Fddd (No. 70, origin choice 2)
One atom of each set of equivalent atoms:
Ac 0.125 0.125 0.125 (multiplicity 8)
B 0.125 0.300 0.625 (multiplicity 16)
Rh 0.125 0.125 0.494 (multiplicity 16)

Values from the calculation:
Uncorrected energy, eV per atom: -7.05

---

The following is a DFT calculation (PBE-GGA) of an optimized crystal structure of Ce6Cd2Os.

Unit cell a=9.151 b=9.491 c=5.360 alpha=90.00 beta=90.00 gamma=90.00
Space group Pnnm (No. 58)
One atom of each set of equivalent atoms:
Ce 0.095 0.156 0.000 (multiplicity 4)
Ce 0.112 0.704 0.500 (multiplicity 4)
Ce 0.202 0.524 0.000 (multiplicity 4)
Cd 0.232 0.351 0.500 (multiplicity 4)
Os 0.000 0.000 0.500 (multiplicity 2)

Values from the calculation:
Uncorrected energy, eV per atom: -5.46

---

The following is a DFT calculation (PBE-GGA) of an optimized crystal structure of BaTlRhPb2.

Unit cell a=5.352 b=5.352 c=5.844 alpha=90.00 beta=90.00 gamma=90.00
Space group P4/mmm (No. 123)
One atom of each set of equivalent atoms:
Ba 0.000 0.000 0.000 (multiplicity 1)
Tl 0.500 0.500 0.000 (multiplicity 1)
Rh 0.000 0.000 0.500 (multiplicity 1)
Pb 0.000 0.500 0.500 (multiplicity 2)

Values from the calculation:
Uncorrected energy, eV per atom: -3.97

---

no.,DFT formation energy (eV/atom),DOS(E_F) (states/eV per atom)
1,-0.613,0.35
2,-0.050,2.62
3,-0.156,0.62